*A*
Na2TiRh | PBE-GGA | relaxed

a = 10.059 Å, b = 10.059 Å, c = 4.514 Å
α = 90.00°, β = 90.00°, γ = 90.00°
Element x y z (fractional)
Na  0.131  0.250  0.125
Na  0.250  0.631  0.375
Na  0.250  0.869  0.875
Na  0.369  0.250  0.625
Na  0.631  0.750  0.625
Na  0.750  0.131  0.875
Na  0.750  0.369  0.375
Na  0.869  0.750  0.125
Ti  0.000  0.000  0.500
Ti  0.000  0.500  0.750
Ti  0.500  0.000  0.250
Ti  0.500  0.500  0.000
Rh  0.000  0.000  0.000
Rh  0.000  0.500  0.250
Rh  0.500  0.000  0.750
Rh  0.500  0.500  0.500

*B*
Na2TiRh | PBE-GGA | relaxed

a = 6.745 Å, b = 6.745 Å, c = 6.745 Å
α = 90.00°, β = 90.00°, γ = 90.00°
Element x y z (fractional)
Na  0.250  0.250  0.250
Na  0.250  0.250  0.750
Na  0.250  0.750  0.250
Na  0.250  0.750  0.750
Na  0.750  0.250  0.250
Na  0.750  0.250  0.750
Na  0.750  0.750  0.250
Na  0.750  0.750  0.750
Ti  0.000  0.000  0.000
Ti  0.000  0.500  0.500
Ti  0.500  0.000  0.500
Ti  0.500  0.500  0.000
Rh  0.000  0.000  0.500
Rh  0.000  0.500  0.000
Rh  0.500  0.000  0.000
Rh  0.500  0.500  0.500

Most stable structure - *A*; separation to the second - 181 meV/atom.

*A*
NaTlRh3 | PBE-GGA | relaxed

a = 5.063 Å, b = 5.063 Å, c = 5.063 Å
α = 90.00°, β = 90.00°, γ = 90.00°
Element x y z (fractional)
Na  0.000  0.000  0.000
Tl  0.500  0.500  0.500
Rh  0.000  0.500  0.500
Rh  0.500  0.000  0.500
Rh  0.500  0.500  0.000

*B*
NaTlRh3 | PBE-GGA | relaxed

a = 4.564 Å, b = 4.564 Å, c = 4.564 Å
α = 90.00°, β = 90.00°, γ = 90.00°
Element x y z (fractional)
Na  0.000  0.000  0.000
Tl  0.500  0.500  0.500
Rh  0.000  0.000  0.500
Rh  0.000  0.500  0.000
Rh  0.500  0.000  0.000

Most stable structure - *A*; separation to the second - 127 meV/atom.

*A*
NaTl3Rh | PBE-GGA | relaxed

a = 5.354 Å, b = 5.354 Å, c = 5.354 Å
α = 90.00°, β = 90.00°, γ = 90.00°
Element x y z (fractional)
Na  0.000  0.000  0.000
Tl  0.000  0.000  0.500
Tl  0.000  0.500  0.000
Tl  0.500  0.000  0.000
Rh  0.500  0.500  0.500

*B*
NaTl3Rh | PBE-GGA | relaxed

a = 5.309 Å, b = 5.309 Å, c = 5.309 Å
α = 90.00°, β = 90.00°, γ = 90.00°
Element x y z (fractional)
Na  0.000  0.000  0.000
Tl  0.000  0.500  0.500
Tl  0.500  0.000  0.500
Tl  0.500  0.500  0.000
Rh  0.500  0.500  0.500

Most stable structure - *B*; separation to the second - 988 meV/atom.

*A*
NaTl3Rh | PBE-GGA | relaxed

a = 8.530 Å, b = 6.977 Å, c = 10.608 Å
α = 90.00°, β = 123.34°, γ = 90.00°
Element x y z (fractional)
Na  0.064  0.244  0.024
Na  0.064  0.256  0.524
Na  0.936  0.744  0.476
Na  0.936  0.756  0.976
Tl  0.164  0.520  0.325
Tl  0.164  0.980  0.825
Tl  0.268  0.507  0.894
Tl  0.268  0.993  0.394
Tl  0.478  0.647  0.699
Tl  0.478  0.853  0.199
Tl  0.522  0.147  0.801
Tl  0.522  0.353  0.301
Tl  0.732  0.007  0.606
Tl  0.732  0.493  0.106
Tl  0.836  0.020  0.175
Tl  0.836  0.480  0.675
Rh  0.481  0.188  0.055
Rh  0.481  0.312  0.555
Rh  0.519  0.688  0.445
Rh  0.519  0.812  0.945

*B*
NaTl3Rh | PBE-GGA | relaxed

a = 7.322 Å, b = 7.322 Å, c = 5.781 Å
α = 90.00°, β = 90.00°, γ = 120.00°
Element x y z (fractional)
Na  0.333  0.667  0.250
Na  0.667  0.333  0.750
Tl  0.185  0.371  0.750
Tl  0.185  0.815  0.750
Tl  0.371  0.185  0.250
Tl  0.629  0.815  0.750
Tl  0.815  0.185  0.250
Tl  0.815  0.629  0.250
Rh  0.000  0.000  0.000
Rh  0.000  0.000  0.500

Most stable structure - *A*; separation to the second - 27 meV/atom.

*A*
Na2Tl3Rh | PBE-GGA | relaxed

a = 7.732 Å, b = 7.732 Å, c = 8.056 Å
α = 90.00°, β = 90.00°, γ = 143.41°
Element x y z (fractional)
Na  0.000  0.000  0.000
Na  0.000  0.000  0.500
Na  0.336  0.664  0.000
Na  0.664  0.336  0.000
Tl  0.176  0.824  0.292
Tl  0.176  0.824  0.708
Tl  0.500  0.500  0.279
Tl  0.500  0.500  0.721
Tl  0.824  0.176  0.292
Tl  0.824  0.176  0.708
Rh  0.341  0.659  0.500
Rh  0.659  0.341  0.500

*B*
Na2Tl3Rh | PBE-GGA | relaxed

a = 8.032 Å, b = 8.032 Å, c = 6.672 Å
α = 102.29°, β = 102.29°, γ = 47.46°
Element x y z (fractional)
Na  0.175  0.184  0.087
Na  0.184  0.175  0.587
Na  0.816  0.825  0.413
Na  0.825  0.816  0.913
Tl  0.158  0.842  0.750
Tl  0.376  0.380  0.437
Tl  0.380  0.376  0.937
Tl  0.620  0.624  0.063
Tl  0.624  0.620  0.563
Tl  0.842  0.158  0.250
Rh  0.261  0.739  0.250
Rh  0.739  0.261  0.750

Most stable structure - *A*; separation to the second - 36 meV/atom.

*A*
Na2Tl2Rh | PBE-GGA | relaxed

a = 7.142 Å, b = 7.142 Å, c = 5.220 Å
α = 90.00°, β = 90.00°, γ = 90.00°
Element x y z (fractional)
Na  0.176  0.324  0.000
Na  0.324  0.824  0.000
Na  0.676  0.176  0.000
Na  0.824  0.676  0.000
Tl  0.157  0.657  0.500
Tl  0.343  0.157  0.500
Tl  0.657  0.843  0.500
Tl  0.843  0.343  0.500
Rh  0.000  0.000  0.500
Rh  0.500  0.500  0.500

*B*
Na2Tl2Rh | PBE-GGA | relaxed

a = 11.755 Å, b = 11.755 Å, c = 6.191 Å
α = 90.00°, β = 90.00°, γ = 161.87°
Element x y z (fractional)
Na  0.103  0.897  0.750
Na  0.262  0.738  0.250
Na  0.738  0.262  0.750
Na  0.897  0.103  0.250
Tl  0.352  0.648  0.750
Tl  0.500  0.500  0.000
Tl  0.500  0.500  0.500
Tl  0.648  0.352  0.250
Rh  0.057  0.943  0.250
Rh  0.943  0.057  0.750

Most stable structure - *B*; separation to the second - 70 meV/atom.

*A*
Na5Tl4Rh | PBE-GGA | relaxed

a = 8.940 Å, b = 8.940 Å, c = 9.583 Å
α = 105.85°, β = 105.85°, γ = 22.33°
Element x y z (fractional)
Na  0.000  0.000  0.000
Na  0.314  0.314  0.893
Na  0.316  0.316  0.424
Na  0.684  0.684  0.576
Na  0.686  0.686  0.107
Tl  0.117  0.117  0.787
Tl  0.451  0.451  0.696
Tl  0.549  0.549  0.304
Tl  0.883  0.883  0.213
Rh  0.000  0.000  0.500

*B*
Na5Tl4Rh | PBE-GGA | relaxed

a = 9.536 Å, b = 9.536 Å, c = 9.956 Å
α = 102.95°, β = 102.95°, γ = 19.94°
Element x y z (fractional)
Na  0.000  0.000  0.000
Na  0.320  0.320  0.724
Na  0.329  0.329  0.117
Na  0.671  0.671  0.883
Na  0.680  0.680  0.276
Tl  0.151  0.151  0.570
Tl  0.496  0.496  0.722
Tl  0.504  0.504  0.278
Tl  0.849  0.849  0.430
Rh  0.000  0.000  0.500

Most stable structure - *A*; separation to the second - 10 meV/atom.

*A*
Na3Tl6Rh | PBE-GGA | relaxed

a = 9.271 Å, b = 11.853 Å, c = 4.901 Å
α = 90.00°, β = 90.00°, γ = 90.00°
Element x y z (fractional)
Na  0.000  0.000  0.000
Na  0.143  0.164  0.500
Na  0.357  0.664  0.000
Na  0.500  0.500  0.500
Na  0.643  0.336  0.000
Na  0.857  0.836  0.500
Tl  0.038  0.735  0.000
Tl  0.156  0.553  0.500
Tl  0.222  0.875  0.500
Tl  0.278  0.375  0.000
Tl  0.344  0.053  0.000
Tl  0.462  0.235  0.500
Tl  0.538  0.765  0.500
Tl  0.656  0.947  0.000
Tl  0.722  0.625  0.000
Tl  0.778  0.125  0.500
Tl  0.844  0.447  0.500
Tl  0.962  0.265  0.000
Rh  0.000  0.500  0.000
Rh  0.500  0.000  0.500

*B*
Na3Tl6Rh | PBE-GGA | relaxed

a = 6.852 Å, b = 6.852 Å, c = 8.477 Å
α = 112.28°, β = 112.28°, γ = 57.09°
Element x y z (fractional)
Na  0.000  0.000  0.000
Na  0.156  0.156  0.724
Na  0.844  0.844  0.276
Tl  0.140  0.628  0.649
Tl  0.297  0.297  0.180
Tl  0.372  0.860  0.351
Tl  0.628  0.140  0.649
Tl  0.703  0.703  0.820
Tl  0.860  0.372  0.351
Rh  0.500  0.500  0.500

Most stable structure - *A*; separation to the second - 22 meV/atom.

*A*
Na2VRh | PBE-GGA | relaxed

a = 6.752 Å, b = 6.752 Å, c = 6.752 Å
α = 90.00°, β = 90.00°, γ = 90.00°
Element x y z (fractional)
Na  0.250  0.250  0.250
Na  0.250  0.250  0.750
Na  0.250  0.750  0.250
Na  0.250  0.750  0.750
Na  0.750  0.250  0.250
Na  0.750  0.250  0.750
Na  0.750  0.750  0.250
Na  0.750  0.750  0.750
V  0.000  0.000  0.000
V  0.000  0.500  0.500
V  0.500  0.000  0.500
V  0.500  0.500  0.000
Rh  0.000  0.000  0.500
Rh  0.000  0.500  0.000
Rh  0.500  0.000  0.000
Rh  0.500  0.500  0.500

*B*
Na2VRh | PBE-GGA | relaxed

a = 9.777 Å, b = 9.777 Å, c = 4.592 Å
α = 90.00°, β = 90.00°, γ = 90.00°
Element x y z (fractional)
Na  0.137  0.250  0.125
Na  0.250  0.637  0.375
Na  0.250  0.863  0.875
Na  0.363  0.250  0.625
Na  0.637  0.750  0.625
Na  0.750  0.137  0.875
Na  0.750  0.363  0.375
Na  0.863  0.750  0.125
V  0.000  0.000  0.500
V  0.000  0.500  0.750
V  0.500  0.000  0.250
V  0.500  0.500  0.000
Rh  0.000  0.000  0.000
Rh  0.000  0.500  0.250
Rh  0.500  0.000  0.750
Rh  0.500  0.500  0.500

Most stable structure - *B*; separation to the second - 134 meV/atom.

*A*
Na3VRh | PBE-GGA | relaxed

a = 5.269 Å, b = 5.269 Å, c = 5.269 Å
α = 90.00°, β = 90.00°, γ = 90.00°
Element x y z (fractional)
Na  0.000  0.000  0.500
Na  0.000  0.500  0.000
Na  0.500  0.000  0.000
V  0.500  0.500  0.500
Rh  0.000  0.000  0.000

*B*
Na3VRh | PBE-GGA | relaxed

a = 5.366 Å, b = 5.366 Å, c = 5.366 Å
α = 90.00°, β = 90.00°, γ = 90.00°
Element x y z (fractional)
Na  0.000  0.000  0.500
Na  0.000  0.500  0.000
Na  0.500  0.000  0.000
V  0.000  0.000  0.000
Rh  0.500  0.500  0.500

Most stable structure - *A*; separation to the second - 412 meV/atom.

*A*
NaRh2W | PBE-GGA | relaxed

a = 7.090 Å, b = 7.090 Å, c = 5.804 Å
α = 90.00°, β = 90.00°, γ = 90.00°
Element x y z (fractional)
Na  0.000  0.000  0.000
Na  0.000  0.500  0.250
Na  0.500  0.000  0.750
Na  0.500  0.500  0.500
Rh  0.208  0.250  0.625
Rh  0.250  0.708  0.875
Rh  0.250  0.792  0.375
Rh  0.292  0.250  0.125
Rh  0.708  0.750  0.125
Rh  0.750  0.208  0.375
Rh  0.750  0.292  0.875
Rh  0.792  0.750  0.625
W  0.000  0.000  0.500
W  0.000  0.500  0.750
W  0.500  0.000  0.250
W  0.500  0.500  0.000

*B*
NaRh2W | PBE-GGA | relaxed

a = 6.249 Å, b = 6.249 Å, c = 6.249 Å
α = 90.00°, β = 90.00°, γ = 90.00°
Element x y z (fractional)
Na  0.000  0.000  0.000
Na  0.000  0.500  0.500
Na  0.500  0.000  0.500
Na  0.500  0.500  0.000
Rh  0.250  0.250  0.250
Rh  0.250  0.250  0.750
Rh  0.250  0.750  0.250
Rh  0.250  0.750  0.750
Rh  0.750  0.250  0.250
Rh  0.750  0.250  0.750
Rh  0.750  0.750  0.250
Rh  0.750  0.750  0.750
W  0.000  0.000  0.500
W  0.000  0.500  0.000
W  0.500  0.000  0.000
W  0.500  0.500  0.500

Most stable structure - *B*; separation to the second - 299 meV/atom.

*A*
Na3RhW | PBE-GGA | relaxed

a = 5.678 Å, b = 5.678 Å, c = 5.678 Å
α = 90.00°, β = 90.00°, γ = 90.00°
Element x y z (fractional)
Na  0.000  0.000  0.500
Na  0.000  0.500  0.000
Na  0.500  0.000  0.000
Rh  0.500  0.500  0.500
W  0.000  0.000  0.000

*B*
Na3RhW | PBE-GGA | relaxed

a = 5.149 Å, b = 5.149 Å, c = 5.149 Å
α = 90.00°, β = 90.00°, γ = 90.00°
Element x y z (fractional)
Na  0.000  0.000  0.500
Na  0.000  0.500  0.000
Na  0.500  0.000  0.000
Rh  0.000  0.000  0.000
W  0.500  0.500  0.500

Most stable structure - *B*; separation to the second - 128 meV/atom.